Record 1
A plane-wave DFT calculation with GGA-PBE was carried out for crystalline HoScSn at its relaxed geometry.

Lattice parameters (Å, degrees): 4.3637 7.8084 9.2317 90.00 90.00 90.00
With the nearest neighbours (Å) after each atom.
Positions (direct):
1 Sn 0.7500 0.7525 0.6357  4 Sc 2.97-3.02, 5 Ho 3.18-3.27
2 Ho 0.2500 0.9584 0.8294  5 Sn 3.18-3.27, 2 Sc 3.52
3 Sn 0.2500 0.2475 0.3643  4 Sc 2.97-3.02, 5 Ho 3.18-3.27
4 Ho 0.7500 0.0416 0.1706  5 Sn 3.18-3.27, 2 Sc 3.52
5 Sc 0.2500 0.3707 0.0599  4 Sn 2.97-3.02, 2 Sc 3.17
6 Sc 0.7500 0.1293 0.5599  4 Sn 2.97-3.02, 2 Sc 3.17
7 Sc 0.7500 0.6293 0.9401  4 Sn 2.97-3.02, 2 Sc 3.17
8 Sn 0.7500 0.2525 0.8643  4 Sc 2.97-3.02, 5 Ho 3.18-3.27
9 Ho 0.2500 0.4584 0.6706  5 Sn 3.18-3.27, 2 Sc 3.52
10 Sc 0.2500 0.8707 0.4401  4 Sn 2.97-3.02, 2 Sc 3.17
11 Ho 0.7500 0.5416 0.3294  5 Sn 3.18-3.27, 2 Sc 3.52
12 Sn 0.2500 0.7475 0.1357  4 Sc 2.97-3.02, 5 Ho 3.18-3.27

For the volume, the calculation gives 314.6 Å³/cell. As for the crystal system: orthorhombic. The formation energy comes out at -598 meV per atom.


Record 2
A plane-wave DFT calculation with GGA-PBE was carried out for crystalline Ho5Sc2Sn5 at its relaxed geometry.

Lattice parameters (Å, degrees): 4.6484 6.5993 12.8130 114.60 90.00 110.62
With the nearest neighbours (Å) after each atom.
Positions (direct):
1 Sc 0.9498 0.8996 0.2126  4 Sn 2.86-3.05
2 Sn 0.8557 0.7113 0.5566  1 Sc 2.86, 5 Ho 3.10-3.20
3 Sn 0.3065 0.6130 0.2154  2 Sc 2.93, 3 Ho 3.16-3.18
4 Ho 0.3187 0.6375 0.7075  5 Sn 3.10-3.18, 1 Ho 3.45, 2 Sc 3.47
5 Sn 0.6935 0.3870 0.7846  2 Sc 2.93, 3 Ho 3.16-3.18
6 Ho 0.5000 0.0000 0.5000  6 Sn 3.20-3.35
7 Sc 0.0502 0.1004 0.7874  4 Sn 2.86-3.05
8 Sn 0.1443 0.2887 0.4434  1 Sc 2.86, 5 Ho 3.10-3.20
9 Ho 0.6582 0.3163 0.0140  3 Sn 2.99-3.16
10 Ho 0.3418 0.6837 0.9860  3 Sn 2.99-3.16
11 Ho 0.6813 0.3625 0.2925  5 Sn 3.10-3.18, 1 Ho 3.45, 2 Sc 3.47
12 Sn 0.0000 0.0000 0.0000  4 Ho 2.99, 2 Sc 3.05

For the volume, the calculation gives 329.5 Å³/cell. As for the crystal system: monoclinic. The formation energy comes out at -512 meV per atom.


Record 3
A plane-wave DFT calculation with GGA-PBE was carried out for crystalline HoScSn2 at its relaxed geometry.

Lattice parameters (Å, degrees): 4.2158 5.9692 8.1556 90.00 90.00 90.00
With the nearest neighbours (Å) after each atom.
Positions (direct):
1 Sn 0.5000 0.0850 0.9547  2 Sn 2.97, 1 Sc 2.99, 4 Ho 3.06-3.08
2 Sn 0.0000 0.4126 0.0449  2 Sn 2.97, 1 Ho 3.00, 4 Sc 3.06-3.08
3 Ho 0.0000 0.8775 0.1841  5 Sn 3.00-3.08
4 Sn 0.0000 0.5874 0.5449  2 Sn 2.97, 1 Ho 3.00, 4 Sc 3.06-3.08
5 Ho 0.0000 0.1225 0.6841  5 Sn 3.00-3.08
6 Sn 0.5000 0.9150 0.4547  2 Sn 2.97, 1 Sc 2.99, 4 Ho 3.06-3.08
7 Sc 0.5000 0.6212 0.8163  5 Sn 2.99-3.08
8 Sc 0.5000 0.3788 0.3163  5 Sn 2.99-3.08

For the volume, the calculation gives 205.2 Å³/cell. As for the crystal system: orthorhombic. The formation energy comes out at -617 meV per atom.